Run i
VASP calculation (PBE) on a relaxed PmSm3Os crystal.

Cell lengths 5.551, 5.551, 5.551 Å; angles 90.00, 90.00, 90.00 degrees
Space group Pm-3m (No. 221)
One atom of each set of equivalent atoms:
Pm (0.000, 0.000, 0.000) (multiplicity 1)
Sm (0.000, 0.500, 0.500) (multiplicity 3)
Os (0.500, 0.500, 0.500) (multiplicity 1)

Computed properties:
Its density of states at the Fermi level is 6.95 states/eV per cell. As for the crystal system: cubic.

=====

Run ii
VASP calculation (PBE) on a relaxed PmSm3Os crystal.

Cell lengths 12.060, 8.717, 8.331 Å; angles 90.00, 133.59, 90.00 degrees
Space group C2/m (No. 12)
One atom of each set of equivalent atoms:
Pm (0.054, 0.000, 0.350) (multiplicity 4)
Sm (0.054, 0.500, 0.256) (multiplicity 4)
Sm (0.250, 0.197, 0.202) (multiplicity 8)
Os (0.250, 0.000, 0.878) (multiplicity 4)

Computed properties:
Its density of states at the Fermi level is 19.60 states/eV per cell. As for the crystal system: monoclinic.

=====

Least stable = run i

=====

Run i
VASP calculation (PBE) on a relaxed PmSn2Os crystal.

Cell lengths 4.5224, 4.5224, 15.7468 Å; angles 90.00, 90.00, 120.00 degrees
Space group R-3m (No. 166, hexagonal axes)
One atom of each set of equivalent atoms:
Pm (0.0000, 0.0000, 0.0000) (multiplicity 3)
Sn (0.0000, 0.0000, 0.2230) (multiplicity 6)
Os (0.0000, 0.0000, 0.5000) (multiplicity 3)

Computed properties:
Its density of states at the Fermi level is 7.58 states/eV per cell. As for the crystal system: trigonal.

=====

Run ii
VASP calculation (PBE) on a relaxed PmSn2Os crystal.

Cell lengths 4.417, 4.417, 4.545 Å; angles 90.00, 90.00, 90.00 degrees
Space group P4/mmm (No. 123)
One atom of each set of equivalent atoms:
Pm (0.000, 0.000, 0.000) (multiplicity 1)
Sn (0.000, 0.500, 0.500) (multiplicity 2)
Os (0.500, 0.500, 0.000) (multiplicity 1)

Computed properties:
Its density of states at the Fermi level is 1.98 states/eV per cell. As for the crystal system: tetragonal.

=====

Least stable = run ii

=====

Run i
VASP calculation (PBE) on a relaxed TbPm3Os crystal.

Cell lengths 11.983, 8.754, 8.303 Å; angles 90.00, 133.51, 90.00 degrees
Space group C2/m (No. 12)
One atom of each set of equivalent atoms:
Tb (0.052, 0.000, 0.250) (multiplicity 4)
Pm (0.053, 0.500, 0.348) (multiplicity 4)
Pm (0.248, 0.196, 0.794) (multiplicity 8)
Os (0.249, 0.000, 0.132) (multiplicity 4)

Computed properties:
Its density of states at the Fermi level is 19.89 states/eV per cell. As for the crystal system: monoclinic.

=====

Run ii
VASP calculation (PBE) on a relaxed TbPm3Os crystal.

Cell lengths 9.465, 7.497, 8.911 Å; angles 90.00, 90.00, 90.00 degrees
Space group Ima2 (No. 46)
One atom of each set of equivalent atoms:
Tb (0.250, 0.027, 0.000) (multiplicity 4)
Pm (0.041, 0.750, 0.250) (multiplicity 8)
Pm (0.250, 0.021, 0.501) (multiplicity 4)
Os (0.250, 0.249, 0.250) (multiplicity 4)

Computed properties:
Its density of states at the Fermi level is 22.84 states/eV per cell. As for the crystal system: orthorhombic.

=====

Least stable = run ii

=====

Run i
VASP calculation (PBE) on a relaxed PmTcOs crystal.

Cell lengths 8.949, 5.351, 9.519 Å; angles 90.00, 90.00, 90.00 degrees
Space group Amm2 (No. 38)
One atom of each set of equivalent atoms:
Pm (0.182, 0.000, 0.000) (multiplicity 4)
Pm (0.315, 0.000, 0.668) (multiplicity 4)
Tc (0.246, 0.000, 0.337) (multiplicity 4)
Tc (0.500, 0.250, 0.416) (multiplicity 4)
Os (0.000, 0.000, 0.502) (multiplicity 2)
Os (0.000, 0.243, 0.746) (multiplicity 4)
Os (0.500, 0.000, 0.157) (multiplicity 2)

Computed properties:
Its density of states at the Fermi level is 26.32 states/eV per cell. As for the crystal system: orthorhombic.

=====

Run ii
VASP calculation (PBE) on a relaxed PmTcOs crystal.

Cell lengths 5.190, 5.685, 7.743 Å; angles 90.00, 90.00, 90.00 degrees
Space group Imma (No. 74)
One atom of each set of equivalent atoms:
Pm (0.000, 0.250, 0.125) (multiplicity 4)
Tc (0.250, 0.250, 0.750) (multiplicity 4)
Os (0.000, 0.000, 0.500) (multiplicity 4)

Computed properties:
Its density of states at the Fermi level is 14.60 states/eV per cell. As for the crystal system: orthorhombic.

=====

Run iii
VASP calculation (PBE) on a relaxed PmTcOs crystal.

Cell lengths 4.645, 4.657, 6.176 Å; angles 90.00, 90.00, 90.00 degrees
Space group Pmmn (No. 59, origin choice 2)
One atom of each set of equivalent atoms:
Pm (0.250, 0.250, 0.000) (multiplicity 2)
Tc (0.250, 0.750, 0.342) (multiplicity 2)
Os (0.250, 0.250, 0.499) (multiplicity 2)

Computed properties:
Its density of states at the Fermi level is 5.07 states/eV per cell. As for the crystal system: orthorhombic.

=====

Least stable = run iii

=====

Run i
VASP calculation (PBE) on a relaxed PmThOs2 crystal.

Cell lengths 3.543, 3.543, 7.068 Å; angles 90.00, 90.00, 90.00 degrees
Space group P4/mmm (No. 123)
One atom of each set of equivalent atoms:
Pm (0.000, 0.000, 0.000) (multiplicity 1)
Th (0.000, 0.000, 0.500) (multiplicity 1)
Os (0.500, 0.500, 0.262) (multiplicity 2)

Computed properties:
Its density of states at the Fermi level is 0.86 states/eV per cell. As for the crystal system: tetragonal.

=====

Run ii
VASP calculation (PBE) on a relaxed PmThOs2 crystal.

Cell lengths 7.071, 7.071, 7.071 Å; angles 90.00, 90.00, 90.00 degrees
Space group Fm-3m (No. 225)
One atom of each set of equivalent atoms:
Pm (0.000, 0.000, 0.000) (multiplicity 4)
Th (0.000, 0.000, 0.500) (multiplicity 4)
Os (0.250, 0.250, 0.250) (multiplicity 8)

Computed properties:
Its density of states at the Fermi level is 14.15 states/eV per cell. As for the crystal system: cubic.

=====

Run iii
VASP calculation (PBE) on a relaxed PmThOs2 crystal.

Cell lengths 4.181, 4.295, 10.797 Å; angles 90.00, 90.00, 90.00 degrees
Space group Amm2 (No. 38)
One atom of each set of equivalent atoms:
Pm (0.000, 0.000, 0.000) (multiplicity 2)
Th (0.500, 0.000, 0.704) (multiplicity 2)
Os (0.000, 0.000, 0.288) (multiplicity 2)
Os (0.500, 0.000, 0.414) (multiplicity 2)

Computed properties:
Its density of states at the Fermi level is 9.97 states/eV per cell. As for the crystal system: orthorhombic.

=====

Least stable = run ii

=====

Run i
VASP calculation (PBE) on a relaxed PmThTlOs crystal.

Cell lengths 7.185, 4.145, 8.412 Å; angles 90.00, 106.61, 90.00 degrees
Space group Cm (No. 8)
One atom of each set of equivalent atoms:
Pm (0.000, 0.000, 0.000) (multiplicity 2)
Th (0.209, 0.000, 0.626) (multiplicity 2)
Tl (0.270, 0.500, 0.308) (multiplicity 2)
Os (0.100, 0.500, 0.800) (multiplicity 2)

Computed properties:
Its density of states at the Fermi level is 4.89 states/eV per cell. As for the crystal system: monoclinic.

=====

Run ii
VASP calculation (PBE) on a relaxed PmThTlOs crystal.

Cell lengths 7.403, 7.403, 7.403 Å; angles 90.00, 90.00, 90.00 degrees
Space group F-43m (No. 216)
One atom of each set of equivalent atoms:
Pm (0.000, 0.000, 0.000) (multiplicity 4)
Th (0.000, 0.000, 0.500) (multiplicity 4)
Tl (0.250, 0.250, 0.750) (multiplicity 4)
Os (0.250, 0.250, 0.250) (multiplicity 4)

Computed properties:
Its density of states at the Fermi level is 11.98 states/eV per cell. As for the crystal system: cubic.

=====

Least stable = run ii

=====

Run i
VASP calculation (PBE) on a relaxed PmTm3Os crystal.

Cell lengths 17.207, 3.594, 9.493 Å; angles 90.00, 105.77, 90.00 degrees
Space group C2/m (No. 12)
One atom of each set of equivalent atoms:
Pm (0.194, 0.000, 0.312) (multiplicity 4)
Tm (0.001, 0.500, 0.175) (multiplicity 4)
Tm (0.097, 0.500, 0.546) (multiplicity 4)
Tm (0.184, 0.000, 0.874) (multiplicity 4)
Os (0.137, 0.500, 0.063) (multiplicity 4)

Computed properties:
Its density of states at the Fermi level is 23.30 states/eV per cell. As for the crystal system: monoclinic.

=====

Run ii
VASP calculation (PBE) on a relaxed PmTm3Os crystal.

Cell lengths 5.371, 5.371, 5.371 Å; angles 90.00, 90.00, 90.00 degrees
Space group Pm-3m (No. 221)
One atom of each set of equivalent atoms:
Pm (0.000, 0.000, 0.000) (multiplicity 1)
Tm (0.000, 0.500, 0.500) (multiplicity 3)
Os (0.500, 0.500, 0.500) (multiplicity 1)

Computed properties:
Its density of states at the Fermi level is 7.20 states/eV per cell. As for the crystal system: cubic.

=====

Least stable = run i

=====

Run i
VASP calculation (PBE) on a relaxed Pm2UOs3 crystal.

Cell lengths 5.8571, 5.8571, 8.2164 Å; angles 90.00, 90.00, 120.00 degrees
Space group P6_3/mmc (No. 194)
One atom of each set of equivalent atoms:
Pm (0.3333, 0.6667, 0.0635) (multiplicity 4)
U (0.0000, 0.0000, 0.0000) (multiplicity 2)
Os (0.1660, 0.3319, 0.7500) (multiplicity 6)

Computed properties:
Its density of states at the Fermi level is 4.22 states/eV per cell. As for the crystal system: hexagonal.

=====

Run ii
VASP calculation (PBE) on a relaxed Pm2UOs3 crystal.

Cell lengths 13.228, 8.717, 4.975 Å; angles 90.00, 90.00, 90.00 degrees
Space group Cmcm (No. 63)
One atom of each set of equivalent atoms:
Pm (0.158, 0.166, 0.250) (multiplicity 8)
U (0.000, 0.347, 0.750) (multiplicity 4)
Os (0.000, 0.079, 0.750) (multiplicity 4)
Os (0.159, 0.500, 0.000) (multiplicity 8)

Computed properties:
Its density of states at the Fermi level is 21.17 states/eV per cell. As for the crystal system: orthorhombic.

=====

Least stable = run ii